Compound: Zr2RhW
Source: the Alexandria database
Functional: PBE
Structure: optimized geometry

Structure (POSCAR):
```
Zr2RhW
1.0
4.725 0.000 0.000
0.000 2.974 -0.001
0.000 1.082 5.232
Rh W Zr
1 1 2
Cartesian
0.000 2.081 2.584
2.362 3.004 3.976
0.000 3.999 5.147
2.362 1.056 1.370
```

Computed properties:
As for the energy above the most stable polymorph in this dataset: 100 kJ/mol of formula units. Its formation enthalpy at 0 K is -0.104 eV per atom.

Compound: Fe3SeI9
Source: the Alexandria database
Functional: PBE
Structure: optimized geometry

Structure (POSCAR):
```
Fe3SeI9
1.0
9.278 0.000 3.904
4.276 10.214 2.814
0.234 -0.372 12.419
Fe Se I
6 2 18
Cartesian
10.077 5.278 13.034
9.213 0.357 6.003
13.468 9.455 16.900
4.078 4.535 6.282
6.824 2.215 11.947
7.263 7.508 6.478
2.231 5.270 1.534
4.600 -0.023 8.184
3.753 2.039 6.062
4.574 6.960 13.076
5.391 2.986 13.850
6.904 8.279 8.834
2.051 0.505 9.846
2.825 5.798 4.519
9.706 7.597 5.837
5.575 2.304 9.751
11.863 9.534 10.445
10.050 4.241 15.335
8.846 7.481 12.888
10.178 2.560 6.781
6.663 4.960 6.137
11.764 9.880 14.951
9.038 3.558 11.349
6.143 8.851 4.478
7.832 0.735 3.762
3.368 5.656 8.551
```

Computed properties:
As for the formation energy from raw total energies: -0.024 eV/atom.

Compound: CrHgOs
Source: the Alexandria database
Functional: PBE
Structure: optimized geometry

Structure (POSCAR):
```
CrHgOs
1.0
-1.727 0.192 3.865
-2.017 -3.371 1.590
1.719 -2.183 3.200
Cr Hg Os
1 1 1
Cartesian
-1.518 -4.021 6.491
0.000 0.000 0.000
-1.012 -2.681 4.328
```

Computed properties:
As for the energy above the most stable polymorph in this dataset: 131 kJ/mol of formula units. Its formation enthalpy at 0 K is 0.868 eV per atom.

no.,E_tot (eV/atom)
1,-9.45
2,-3.32
3,-6.18